# MgFe2Hg

A relaxed structure of MgFe2Hg (PBE, Alexandria).

Results
ΔH_f (0 K) = 0.2756 eV per atom
V = 62 Å³/cell

a = 4.807 Å, b = 4.807 Å, c = 4.807 Å
α = 130.66°, β = 130.66°, γ = 72.35°
Element x y z (fractional)
Fe: 0.250 0.750 0.500
Hg: 0.500 0.500 0.000
Mg: 0.750 0.250 0.500
Fe: 0.000 0.000 0.000

---

# MgCdCu2

A relaxed structure of MgCdCu2 (PBE, Alexandria).

Results
ΔH_f (0 K) = -0.0369 eV per atom
V = 65 Å³/cell

a = 3.175 Å, b = 3.175 Å, c = 6.445 Å
α = 90.00°, β = 90.00°, γ = 90.00°
Element x y z (fractional)
Mg: 0.000 0.000 0.461
Cu: 0.500 0.500 0.220
Cu: 0.000 0.000 0.037
Cd: 0.500 0.500 0.781

---

# TmUIr4

A relaxed structure of TmUIr4 (PBE, Alexandria).

Results
ΔH_f (0 K) = -0.6674 eV per atom
V = 107 Å³/cell

a = 5.334 Å, b = 5.334 Å, c = 5.334 Å
α = 60.00°, β = 60.00°, γ = 60.00°
Element x y z (fractional)
Ir: 0.625 0.124 0.625
Ir: 0.625 0.625 0.625
Ir: 0.124 0.625 0.625
Ir: 0.625 0.625 0.124
U: 0.250 0.250 0.250
Tm: 0.000 0.000 0.000

---

> V of number 3 (TmUIr4)?

107 Å³/cell